## YSc2Fe (PBE)

Data for a geometry-optimized YSc2Fe structure.

abc: 3.340 3.340 28.190
angles: 90.00 90.00 120.00
Sites, in units of the cell vectors:
Y 0.000 0.000 0.000
Y 0.333 0.667 0.667
Y 0.667 0.333 0.333
Sc 0.000 0.000 0.228
Sc 0.000 0.000 0.772
Sc 0.333 0.667 0.438
Sc 0.333 0.667 0.895
Sc 0.667 0.333 0.105
Sc 0.667 0.333 0.562
Fe 0.000 0.000 0.500
Fe 0.333 0.667 0.167
Fe 0.667 0.333 0.833

Properties
- Energy above the lowest structure with this stoichiometry: 201.4 meV per atom
- E: -6.74 eV per atom
- Energy of formation: 0.61 eV per formula unit

## MgV2Zn (PBE)

Data for a geometry-optimized MgV2Zn structure.

abc: 7.168 7.168 4.995
angles: 90.00 90.00 90.00
Sites, in units of the cell vectors:
Mg 0.000 0.000 0.000
Mg 0.000 0.500 0.250
Mg 0.500 0.000 0.750
Mg 0.500 0.500 0.500
V 0.233 0.250 0.625
V 0.250 0.733 0.875
V 0.250 0.767 0.375
V 0.267 0.250 0.125
V 0.733 0.750 0.125
V 0.750 0.233 0.375
V 0.750 0.267 0.875
V 0.767 0.750 0.625
Zn 0.000 0.000 0.500
Zn 0.000 0.500 0.750
Zn 0.500 0.000 0.250
Zn 0.500 0.500 0.000

Properties
- Energy above the lowest structure with this stoichiometry: 208.4 meV per atom
- E: -4.61 eV per atom
- Energy of formation: 2.67 eV per formula unit

> Which value of E does entry 1 give?

-6.74 eV per atom

> Among the records above, which one has the highest E?

MgV2Zn

Repeat the second record exactly.
## MgV2Zn (PBE)

Data for a geometry-optimized MgV2Zn structure.

abc: 7.168 7.168 4.995
angles: 90.00 90.00 90.00
Sites, in units of the cell vectors:
Mg 0.000 0.000 0.000
Mg 0.000 0.500 0.250
Mg 0.500 0.000 0.750
Mg 0.500 0.500 0.500
V 0.233 0.250 0.625
V 0.250 0.733 0.875
V 0.250 0.767 0.375
V 0.267 0.250 0.125
V 0.733 0.750 0.125
V 0.750 0.233 0.375
V 0.750 0.267 0.875
V 0.767 0.750 0.625
Zn 0.000 0.000 0.500
Zn 0.000 0.500 0.750
Zn 0.500 0.000 0.250
Zn 0.500 0.500 0.000

Properties
- Energy above the lowest structure with this stoichiometry: 208.4 meV per atom
- E: -4.61 eV per atom
- Energy of formation: 2.67 eV per formula unit

> The highest energy of formation belongs to which entry?

MgV2Zn